{"formula": "Y3CBr3", "functional": "GGA-PBE", "state": "optimized geometry", "total_magnetization_mub_per_atom": 0.000, "dos_ef_per_ev_cell": 7.7, "raw_formation_energy_ev_per_atom": -1.2966, "relative_energy_mev_per_atom": 19, "lattice": [[3.287, 1.898, 10.667], [-3.287, 1.898, 10.667], [0.000, -3.796, 10.667]], "species": ["Y", "Y", "Y", "Y", "Y", "Y", "C", "C", "Br", "Br", "Br", "Br", "Br", "Br"], "frac_coords": [[0.104, 0.457, 0.811], [0.189, 0.896, 0.543], [0.457, 0.811, 0.104], [0.543, 0.189, 0.896], [0.811, 0.104, 0.457], [0.896, 0.543, 0.189], [0.167, 0.167, 0.167], [0.833, 0.833, 0.833], [0.071, 0.724, 0.398], [0.276, 0.602, 0.929], [0.398, 0.071, 0.724], [0.602, 0.929, 0.276], [0.724, 0.398, 0.071], [0.929, 0.276, 0.602]]}